*a*
Here is an optimized crystal structure of Dy4CoCl5 from the Alexandria database. Energies are from GGA-PBE.

```
10
Lattice="9.0926 -1.9003 0.0000 9.0926 1.9003 0.0000 -1.8269 0.0000 7.9492" Properties=species:S:1:pos:R:3 pbc="T T T"
Dy -0.3808 0.0000 1.7241
Dy 4.7148 0.0000 7.2896
Dy 11.6435 0.0000 0.6596
Dy 16.7391 0.0000 6.2252
Co 9.0926 0.0000 0.0000
Cl 2.4405 0.0000 2.6161
Cl 1.6827 0.0000 6.8010
Cl 8.1792 0.0000 3.9746
Cl 14.6756 0.0000 1.1483
Cl 13.9178 0.0000 5.3332
```

Calculated values
The mass density comes out at 5.36 g/cm³. For the density of states at the Fermi level, the calculation gives 2.23 states/eV per cell.

---

*b*
Here is an optimized crystal structure of Dy4CoCl5 from the Alexandria database. Energies are from GGA-PBE.

```
10
Lattice="9.7349 -1.9008 0.0000 9.7349 1.9008 0.0000 -0.0312 0.0000 8.1708" Properties=species:S:1:pos:R:3 pbc="T T T"
Dy -0.0054 0.0000 1.7808
Dy 19.4441 0.0000 6.3900
Dy 7.0887 0.0000 8.1614
Dy 12.3500 0.0000 0.0094
Co 9.7349 0.0000 0.0000
Cl 3.0037 0.0000 1.9248
Cl 2.9907 0.0000 6.2686
Cl 9.7193 0.0000 4.0854
Cl 16.4479 0.0000 1.9021
Cl 16.4350 0.0000 6.2459
```

Calculated values
The mass density comes out at 4.87 g/cm³. For the density of states at the Fermi level, the calculation gives 1.29 states/eV per cell.

---

Among the structures shown above, *a* is the most stable, with the second-best lying 27 meV/atom higher.